1.
! KCeIn2Cl6 PBE optimized geometry; values from VASP
! Theoretical density, g/cm³: 2.87
! SG: R3
! Raw formation energy, kJ/mol of formula units: -1560.9
&SYSTEM
  ibrav = 0, nat = 10, ntyp = 4
/
ATOMIC_SPECIES
K 39.10 K.upf
Ce 140.12 Ce.upf
In 114.82 In.upf
Cl 35.45 Cl.upf
CELL_PARAMETERS angstrom
3.947 2.279 6.661
-3.947 2.279 6.661
0.000 -4.557 6.661
ATOMIC_POSITIONS angstrom
K 0.000 0.000 0.000
Ce 0.000 0.000 9.836
In 0.000 0.000 5.702
In 0.000 0.000 15.771
Cl -0.942 -1.907 8.021
Cl -2.355 -0.424 11.215
Cl -1.180 1.770 8.021
Cl 1.544 -1.827 11.215
Cl 2.123 0.137 8.021
Cl 0.810 2.251 11.215

***

2.
! Ta2FeAgPb PBE optimized geometry; values from VASP
! Theoretical density, g/cm³: 10.81
! SG: P4/mmm
! ΔH_f (0 K), eV per atom: 1.68
&SYSTEM
  ibrav = 0, nat = 5, ntyp = 4
/
ATOMIC_SPECIES
Ta 180.95 Ta.upf
Fe 55.84 Fe.upf
Ag 107.87 Ag.upf
Pb 207.20 Pb.upf
CELL_PARAMETERS angstrom
4.930 0.000 0.000
0.000 4.930 0.000
0.000 0.000 4.631
ATOMIC_POSITIONS angstrom
Ta 0.000 2.465 0.000
Ta 2.465 0.000 0.000
Fe 0.000 0.000 2.316
Ag 0.000 0.000 0.000
Pb 2.465 2.465 2.316

***

3.
! K7ClF5 PBE optimized geometry; values from VASP
! Theoretical density, g/cm³: 2.02
! SG: Cm
! Raw formation energy, kJ/mol of formula units: -2911.0
&SYSTEM
  ibrav = 0, nat = 26, ntyp = 3
/
ATOMIC_SPECIES
K 39.10 K.upf
Cl 35.45 Cl.upf
F 19.00 F.upf
CELL_PARAMETERS angstrom
6.487 -1.947 0.000
6.487 1.947 0.000
-0.418 0.000 26.273
ATOMIC_POSITIONS angstrom
K 0.000 0.000 0.000
K 12.785 0.000 11.580
K 0.354 0.000 18.952
K 2.823 0.000 5.783
K 3.146 0.000 24.720
K 3.386 0.000 13.147
K 6.119 0.000 8.208
K 6.264 0.000 3.345
K 6.682 0.000 23.099
K 6.912 0.000 14.755
K 9.257 0.000 9.973
K 9.439 0.000 1.622
K 9.866 0.000 21.385
K 10.044 0.000 16.526
Cl 4.268 0.000 19.041
Cl 11.887 0.000 5.712
F 1.028 0.000 9.277
F 1.224 0.000 2.297
F 1.919 0.000 22.419
F 2.170 0.000 15.446
F 4.585 0.000 10.643
F 4.770 0.000 0.933
F 7.852 0.000 25.494
F 8.085 0.000 12.361
F 11.351 0.000 23.780
F 11.583 0.000 14.076

***

4.
! Cr2FeB PBE optimized geometry; values from VASP
! Theoretical density, g/cm³: 6.56
! SG: I-42d
! ΔH_f (0 K), eV per atom: 0.36
&SYSTEM
  ibrav = 0, nat = 8, ntyp = 3
/
ATOMIC_SPECIES
Cr 52.00 Cr.upf
Fe 55.84 Fe.upf
B 10.81 B.upf
CELL_PARAMETERS angstrom
-3.296 3.296 1.988
3.296 -3.296 1.988
3.296 3.296 -1.988
ATOMIC_POSITIONS angstrom
Cr 4.943 1.047 -0.497
Cr 1.047 1.648 0.497
Cr -1.648 2.249 1.491
Cr 2.249 1.648 2.485
Fe 3.296 0.000 0.994
Fe 0.000 0.000 1.988
B 0.000 0.000 0.000
B 0.000 3.296 0.994

***

5.
! HgPH3 PBE optimized geometry; values from VASP
! Theoretical density, g/cm³: 6.86
! SG: Pm-3m
&SYSTEM
  ibrav = 0, nat = 5, ntyp = 3
/
ATOMIC_SPECIES
Hg 200.59 Hg.upf
P 30.97 P.upf
H 1.01 H.upf
CELL_PARAMETERS angstrom
3.844 0.000 0.000
0.000 3.844 0.000
0.000 0.000 3.844
ATOMIC_POSITIONS angstrom
Hg 0.000 0.000 0.000
P 1.922 1.922 1.922
H 0.000 0.000 1.922
H 0.000 1.922 0.000
H 1.922 0.000 0.000

***

6.
! YScSb PBE optimized geometry; values from VASP
! Theoretical density, g/cm³: 4.97
! SG: P-1
! Raw formation energy, kJ/mol of formula units: -171.6
&SYSTEM
  ibrav = 0, nat = 12, ntyp = 3
/
ATOMIC_SPECIES
Y 88.91 Y.upf
Sc 44.96 Sc.upf
Sb 121.76 Sb.upf
CELL_PARAMETERS angstrom
5.859 0.000 0.000
-2.820 7.942 0.000
-2.798 -3.317 7.341
ATOMIC_POSITIONS angstrom
Y -1.698 2.265 2.131
Y 1.480 0.207 0.806
Y -1.239 4.418 6.534
Y 1.939 2.360 5.210
Sc -2.785 5.295 3.511
Sc 0.252 5.126 1.034
Sc -0.011 -0.501 6.307
Sc 3.026 -0.670 3.830
Sb -2.907 -0.661 6.769
Sb 0.166 0.273 3.583
Sb 0.075 4.352 3.758
Sb 3.148 5.287 0.571

***

7.
! ScIrPb2 PBE optimized geometry; values from VASP
! Theoretical density, g/cm³: 12.68
! SG: Fm-3m
! ΔH_f (0 K), eV per atom: 0.02
&SYSTEM
  ibrav = 0, nat = 4, ntyp = 3
/
ATOMIC_SPECIES
Sc 44.96 Sc.upf
Ir 192.22 Ir.upf
Pb 207.20 Pb.upf
CELL_PARAMETERS angstrom
0.000 3.494 3.494
3.494 0.000 3.494
3.494 3.494 0.000
ATOMIC_POSITIONS angstrom
Sc 0.000 0.000 0.000
Ir 3.494 3.494 3.494
Pb 1.747 1.747 1.747
Pb 5.242 5.242 5.242

***

8.
! Cd2MoCl PBE optimized geometry; values from VASP
! Theoretical density, g/cm³: 6.32
! SG: I-42d
! Raw formation energy, kJ/mol of formula units: 232.9
&SYSTEM
  ibrav = 0, nat = 8, ntyp = 3
/
ATOMIC_SPECIES
Cd 112.41 Cd.upf
Mo 95.94 Mo.upf
Cl 35.45 Cl.upf
CELL_PARAMETERS angstrom
-4.058 4.058 2.841
4.058 -4.058 2.841
4.058 4.058 -2.841
ATOMIC_POSITIONS angstrom
Cd 6.086 2.003 -0.710
Cd 2.003 2.029 0.710
Cd -2.029 2.054 2.131
Cd 2.054 2.029 3.551
Mo 0.000 0.000 0.000
Mo 0.000 4.058 1.420
Cl 4.058 0.000 1.420
Cl 0.000 0.000 2.841

***

| no. | VASP energy (eV/atom) |
| --- | --- |
| 1 | -3.9765 |
| 2 | -6.0614 |
| 3 | -3.7736 |
| 4 | -8.2358 |
| 5 | -2.0088 |
| 6 | -6.2323 |
| 7 | -5.6289 |
| 8 | -3.0236 |